First-principles (PBE-GGA) data for an optimized crystal structure of TePd2N, as listed in Alexandria.

abc: 6.2592 6.2592 6.2592
angles: 90.00 90.00 90.00
Space group Fm-3m (No. 225)
Inequivalent atoms, fractional coordinates:
1 Te 0.0000 0.0000 0.0000 (multiplicity 4)
2 Pd 0.2500 0.2500 0.2500 (multiplicity 8)
3 N 0.0000 0.0000 0.5000 (multiplicity 4)

Output
* excess energy over the best structure of this formula in the dataset: 384 meV/atom
* formation energy without anion corrections: 0.726 eV per atom
* Fermi-level density of states: 6.3 states/eV/cell
* total energy: -19.0 eV/f.u.

***

First-principles (PBE-GGA) data for an optimized crystal structure of PaInNiPd, as listed in Alexandria.

abc: 6.7334 6.7334 6.7334
angles: 90.00 90.00 90.00
Space group F-43m (No. 216)
Inequivalent atoms, fractional coordinates:
1 Pa 0.0000 0.0000 0.0000 (multiplicity 4)
2 In 0.0000 0.0000 0.5000 (multiplicity 4)
3 Ni 0.2500 0.2500 0.2500 (multiplicity 4)
4 Pd 0.2500 0.2500 0.7500 (multiplicity 4)

Output
* Fermi-level density of states: 22.3 states/eV/cell
* total energy: -24.8 eV/f.u.

***

First-principles (PBE-GGA) data for an optimized crystal structure of CoNiAgS2, as listed in Alexandria.

abc: 4.7374 4.7374 4.6604
angles: 90.00 90.00 90.00
Space group P4/mmm (No. 123)
Inequivalent atoms, fractional coordinates:
1 Co 0.0000 0.0000 0.0000 (multiplicity 1)
2 Ni 0.5000 0.5000 0.0000 (multiplicity 1)
3 Ag 0.5000 0.5000 0.5000 (multiplicity 1)
4 S 0.0000 0.5000 0.5000 (multiplicity 2)

Output
* formation energy without anion corrections: 1.354 eV per atom
* Fermi-level density of states: 9.6 states/eV/cell
* total energy: -17.2 eV/f.u.

***

First-principles (PBE-GGA) data for an optimized crystal structure of ScSn2O, as listed in Alexandria.

abc: 6.9110 6.9110 7.1125
angles: 90.00 90.00 90.00
Space group I-42d (No. 122)
Inequivalent atoms, fractional coordinates:
1 Sc 0.0000 0.0000 0.0000 (multiplicity 4)
2 Sn 0.1726 0.2500 0.6250 (multiplicity 8)
3 O 0.0000 0.0000 0.5000 (multiplicity 4)

Output
* formation energy without anion corrections: -0.451 eV per atom
* Fermi-level density of states: 19.2 states/eV/cell
* total energy: -21.1 eV/f.u.

***

First-principles (PBE-GGA) data for an optimized crystal structure of MgTa2Ni, as listed in Alexandria.

abc: 3.7290 4.1935 8.5652
angles: 90.00 90.00 90.00
Space group Cmmm (No. 65)
Inequivalent atoms, fractional coordinates:
1 Mg 0.0000 0.0000 0.0000 (multiplicity 2)
2 Ta 0.0000 0.5000 0.2850 (multiplicity 4)
3 Ni 0.0000 0.0000 0.5000 (multiplicity 2)

Output
* Fermi-level density of states: 6.6 states/eV/cell
* total energy: -30.6 eV/f.u.

***

First-principles (PBE-GGA) data for an optimized crystal structure of NdPu2Th, as listed in Alexandria.

abc: 4.9592 4.9592 4.8509
angles: 90.00 90.00 90.00
Space group P4/mmm (No. 123)
Inequivalent atoms, fractional coordinates:
1 Nd 0.0000 0.0000 0.0000 (multiplicity 1)
2 Pu 0.0000 0.5000 0.5000 (multiplicity 2)
3 Th 0.5000 0.5000 0.0000 (multiplicity 1)

Output
* excess energy over the best structure of this formula in the dataset: 20 meV/atom
* Fermi-level density of states: 13.8 states/eV/cell
* total energy: -40.0 eV/f.u.